(1)
## Al4CdAg7 (PBE)

Data for crystalline Al4CdAg7 at its relaxed geometry.

Cell and atoms, written as CIF:
```
data_Al4CdAg7
_chemical_formula_sum 'Al4 Cd1 Ag7'
_cell_length_a 2.9663
_cell_length_b 2.9663
_cell_length_c 27.3989
_cell_angle_alpha 90.00
_cell_angle_beta 90.00
_cell_angle_gamma 120.00
_space_group_name_H-M_alt 'P -3 m 1'
_space_group_IT_number 164
_space_group_name_Hall '-P 3 2"'
loop_
_atom_site_label
_atom_site_type_symbol
_atom_site_fract_x
_atom_site_fract_y
_atom_site_fract_z
Al1 Al 0.3333 0.6667 0.1712
Al2 Al 0.3333 0.6667 0.4187
Cd1 Cd 0.0000 0.0000 0.0000
Ag1 Ag 0.0000 0.0000 0.2505
Ag2 Ag 0.0000 0.0000 0.5000
Ag3 Ag 0.3333 0.6667 0.6609
Ag4 Ag 0.3333 0.6667 0.9086
```

***

(2)
## Al3CdAg12 (PBE)

Data for crystalline Al3CdAg12 at its relaxed geometry.

Cell and atoms, written as CIF:
```
data_Al3CdAg12
_chemical_formula_sum 'Al3 Cd1 Ag12'
_cell_length_a 4.111
_cell_length_b 4.111
_cell_length_c 16.564
_cell_angle_alpha 90.00
_cell_angle_beta 90.00
_cell_angle_gamma 90.00
_space_group_name_H-M_alt 'P 4/m m m'
_space_group_IT_number 123
_space_group_name_Hall '-P 4 2'
loop_
_atom_site_label
_atom_site_type_symbol
_atom_site_fract_x
_atom_site_fract_y
_atom_site_fract_z
Al1 Al 0.000 0.000 0.000
Al2 Al 0.000 0.000 0.248
Cd1 Cd 0.000 0.000 0.500
Ag1 Ag 0.000 0.500 0.123
Ag2 Ag 0.000 0.500 0.368
Ag3 Ag 0.500 0.500 0.000
Ag4 Ag 0.500 0.500 0.245
Ag5 Ag 0.500 0.500 0.500
```

***

(3)
## AlCd2Ag (PBE)

Data for crystalline AlCd2Ag at its relaxed geometry.

Cell and atoms, written as CIF:
```
data_AlCd2Ag
_chemical_formula_sum 'Al2 Cd4 Ag2'
_cell_length_a 4.296
_cell_length_b 4.296
_cell_length_c 8.561
_cell_angle_alpha 90.00
_cell_angle_beta 90.00
_cell_angle_gamma 90.00
_space_group_name_H-M_alt 'I 4/m m m'
_space_group_IT_number 139
_space_group_name_Hall '-I 4 2'
loop_
_atom_site_label
_atom_site_type_symbol
_atom_site_fract_x
_atom_site_fract_y
_atom_site_fract_z
Al1 Al 0.000 0.000 0.000
Cd1 Cd 0.000 0.500 0.250
Ag1 Ag 0.000 0.000 0.500
```

***

(4)
## AlCdAg2 (PBE)

Data for crystalline AlCdAg2 at its relaxed geometry.

Cell and atoms, written as CIF:
```
data_AlCdAg2
_chemical_formula_sum 'Al2 Cd2 Ag4'
_cell_length_a 4.142
_cell_length_b 4.142
_cell_length_c 8.452
_cell_angle_alpha 90.00
_cell_angle_beta 90.00
_cell_angle_gamma 90.00
_space_group_name_H-M_alt 'I -4 m 2'
_space_group_IT_number 119
_space_group_name_Hall 'I -4 -2'
loop_
_atom_site_label
_atom_site_type_symbol
_atom_site_fract_x
_atom_site_fract_y
_atom_site_fract_z
Al1 Al 0.000 0.000 0.000
Cd1 Cd 0.000 0.500 0.750
Ag1 Ag 0.000 0.000 0.500
Ag2 Ag 0.000 0.500 0.250
```

***

(5)
## AlCd2Ag (PBE)

Data for crystalline AlCd2Ag at its relaxed geometry.

Cell and atoms, written as CIF:
```
data_AlCd2Ag
_chemical_formula_sum 'Al2 Cd4 Ag2'
_cell_length_a 2.899
_cell_length_b 4.462
_cell_length_c 13.302
_cell_angle_alpha 90.00
_cell_angle_beta 90.00
_cell_angle_gamma 90.00
_space_group_name_H-M_alt 'I m m m'
_space_group_IT_number 71
_space_group_name_Hall '-I 2 2'
loop_
_atom_site_label
_atom_site_type_symbol
_atom_site_fract_x
_atom_site_fract_y
_atom_site_fract_z
Al1 Al 0.000 0.000 0.000
Cd1 Cd 0.000 0.500 0.195
Ag1 Ag 0.000 0.000 0.500
```

***

(6)
## Al2CdAg (PBE)

Data for crystalline Al2CdAg at its relaxed geometry.

Cell and atoms, written as CIF:
```
data_Al2CdAg
_chemical_formula_sum 'Al4 Cd2 Ag2'
_cell_length_a 2.850
_cell_length_b 5.115
_cell_length_c 10.350
_cell_angle_alpha 90.00
_cell_angle_beta 90.00
_cell_angle_gamma 90.00
_space_group_name_H-M_alt 'I m m 2'
_space_group_IT_number 44
_space_group_name_Hall 'I 2 -2'
loop_
_atom_site_label
_atom_site_type_symbol
_atom_site_fract_x
_atom_site_fract_y
_atom_site_fract_z
Al1 Al 0.000 0.000 0.000
Al2 Al 0.000 0.500 0.262
Cd1 Cd 0.000 0.500 0.774
Ag1 Ag 0.000 0.000 0.533
```

***

(7)
## AlCd2Ag (PBE)

Data for crystalline AlCd2Ag at its relaxed geometry.

Cell and atoms, written as CIF:
```
data_AlCd2Ag
_chemical_formula_sum 'Al2 Cd4 Ag2'
_cell_length_a 5.818
_cell_length_b 8.332
_cell_length_c 3.270
_cell_angle_alpha 90.00
_cell_angle_beta 90.62
_cell_angle_gamma 90.00
_space_group_name_H-M_alt 'C 1 2/m 1'
_space_group_IT_number 12
_space_group_name_Hall '-C 2y'
loop_
_atom_site_label
_atom_site_type_symbol
_atom_site_fract_x
_atom_site_fract_y
_atom_site_fract_z
Al1 Al 0.000 0.000 0.000
Cd1 Cd 0.250 0.250 0.500
Ag1 Ag 0.000 0.500 0.000
```

***

(8)
## AlCdAg2 (PBE)

Data for crystalline AlCdAg2 at its relaxed geometry.

Cell and atoms, written as CIF:
```
data_AlCdAg2
_chemical_formula_sum 'Al1 Cd1 Ag2'
_cell_length_a 2.919
_cell_length_b 4.465
_cell_length_c 5.794
_cell_angle_alpha 90.00
_cell_angle_beta 104.38
_cell_angle_gamma 90.00
_space_group_name_H-M_alt 'P 1 2/m 1'
_space_group_IT_number 10
_space_group_name_Hall '-P 2y'
loop_
_atom_site_label
_atom_site_type_symbol
_atom_site_fract_x
_atom_site_fract_y
_atom_site_fract_z
Al1 Al 0.000 0.000 0.000
Cd1 Cd 0.500 0.000 0.500
Ag1 Ag 0.167 0.500 0.766
```

***

(9)
## AlCd6Ag10 (PBE)

Data for crystalline AlCd6Ag10 at its relaxed geometry.

Cell and atoms, written as CIF:
```
data_AlCd6Ag10
_chemical_formula_sum 'Al1 Cd6 Ag10'
_cell_length_a 8.1615
_cell_length_b 8.1615
_cell_length_c 5.7250
_cell_angle_alpha 90.00
_cell_angle_beta 90.00
_cell_angle_gamma 120.00
_space_group_name_H-M_alt 'P -3 1 m'
_space_group_IT_number 162
_space_group_name_Hall '-P 3 2'
loop_
_atom_site_label
_atom_site_type_symbol
_atom_site_fract_x
_atom_site_fract_y
_atom_site_fract_z
Al1 Al 0.0000 0.0000 0.0000
Cd1 Cd 0.0000 0.3811 0.7909
Ag1 Ag 0.0000 0.2627 0.3112
Ag2 Ag 0.3333 0.6667 0.0000
Ag3 Ag 0.3333 0.6667 0.5000
```

***

(10)
## AlCd2Ag (PBE)

Data for crystalline AlCd2Ag at its relaxed geometry.

Cell and atoms, written as CIF:
```
data_AlCd2Ag
_chemical_formula_sum 'Al2 Cd4 Ag2'
_cell_length_a 2.917
_cell_length_b 4.931
_cell_length_c 11.475
_cell_angle_alpha 90.00
_cell_angle_beta 90.00
_cell_angle_gamma 90.00
_space_group_name_H-M_alt 'I m m 2'
_space_group_IT_number 44
_space_group_name_Hall 'I 2 -2'
loop_
_atom_site_label
_atom_site_type_symbol
_atom_site_fract_x
_atom_site_fract_y
_atom_site_fract_z
Al1 Al 0.000 0.000 0.000
Cd1 Cd 0.000 0.000 0.441
Cd2 Cd 0.000 0.500 0.246
Ag1 Ag 0.000 0.500 0.700
```

***

(11)
# Al2CdAg4 (PBE, optimized geometry)
# E above lowest polymorph   0.35 eV/f.u.
data_Al2CdAg4
_chemical_formula_sum 'Al6 Cd3 Ag12'
_cell_length_a 4.5459
_cell_length_b 4.5459
_cell_length_c 21.8670
_cell_angle_alpha 90.00
_cell_angle_beta 90.00
_cell_angle_gamma 120.00
_space_group_name_H-M_alt 'R -3 m'
_space_group_IT_number 166
_space_group_name_Hall '-R 3 2"'
loop_
_atom_site_label
_atom_site_type_symbol
_atom_site_fract_x
_atom_site_fract_y
_atom_site_fract_z
Al1 Al 0.0000 0.0000 0.2485
Cd1 Cd 0.0000 0.0000 0.5000
Ag1 Ag 0.0000 0.0000 0.1101
Ag2 Ag 0.0000 0.0000 0.3686

***

(12)
## AlCdAg2 (PBE)

Data for crystalline AlCdAg2 at its relaxed geometry.

Cell and atoms, written as CIF:
```
data_AlCdAg2
_chemical_formula_sum 'Al2 Cd2 Ag4'
_cell_length_a 9.857
_cell_length_b 2.998
_cell_length_c 5.008
_cell_angle_alpha 90.00
_cell_angle_beta 101.10
_cell_angle_gamma 90.00
_space_group_name_H-M_alt 'C 1 m 1'
_space_group_IT_number 8
_space_group_name_Hall 'C -2y'
loop_
_atom_site_label
_atom_site_type_symbol
_atom_site_fract_x
_atom_site_fract_y
_atom_site_fract_z
Al1 Al 0.000 0.000 0.000
Cd1 Cd 0.250 0.500 0.276
Ag1 Ag 0.007 0.500 0.519
Ag2 Ag 0.262 0.000 0.785
```

***

Values of calculated density, in order: 7.8 8.8 7.6 8.1 6.9 6.0 7.5 8.1 9.0 7.2 7.6 8.1, all in g/cm³.
Values of energy of formation, in order: -22 -33 72 12 59 103 61 9 10 57 24 1, all in meV/atom.